1.
A plane-wave DFT calculation with PBE was carried out for crystalline KTcPAu2 at its relaxed geometry.

Structure (CIF):
```
data_KTcPAu2
_cell_length_a 5.1435
_cell_length_b 5.1435
_cell_length_c 6.3864
_cell_angle_alpha 90.00
_cell_angle_beta 90.00
_cell_angle_gamma 90.00
_space_group_name_H-M_alt 'P 4/m m m'
_space_group_IT_number 123
_space_group_name_Hall '-P 4 2'
loop_
_atom_site_label
_atom_site_fract_x
_atom_site_fract_y
_atom_site_fract_z
K1 0.0000 0.0000 0.0000
Tc1 0.0000 0.0000 0.5000
P1 0.5000 0.5000 0.0000
Au1 0.0000 0.5000 0.5000
```

## Properties
D(E_F)	0.872	states/eV per atom
energy of formation	1396	meV per atom

---

2.
A plane-wave DFT calculation with PBE was carried out for crystalline Tb3Fe at its relaxed geometry.

Structure (CIF):
```
data_Tb3Fe
_cell_length_a 3.5402
_cell_length_b 10.5923
_cell_length_c 5.4038
_cell_angle_alpha 90.00
_cell_angle_beta 90.00
_cell_angle_gamma 90.00
_space_group_name_H-M_alt 'I m m 2'
_space_group_IT_number 44
_space_group_name_Hall 'I 2 -2'
loop_
_atom_site_label
_atom_site_fract_x
_atom_site_fract_y
_atom_site_fract_z
Tb1 0.0000 0.0000 0.0000
Tb2 0.0000 0.1923 0.5027
Fe1 0.0000 0.5000 0.0458
```

## Properties
D(E_F)	0.983	states/eV per atom
energy of formation	104	meV per atom

---

3.
A plane-wave DFT calculation with PBE was carried out for crystalline Ac5OsAu2N at its relaxed geometry.

Structure (CIF):
```
data_Ac5OsAu2N
_cell_length_a 4.3638
_cell_length_b 18.7929
_cell_length_c 13.8817
_cell_angle_alpha 90.00
_cell_angle_beta 90.00
_cell_angle_gamma 90.00
_space_group_name_H-M_alt 'C m c 21'
_space_group_IT_number 36
_space_group_name_Hall 'C 2c -2'
loop_
_atom_site_label
_atom_site_fract_x
_atom_site_fract_y
_atom_site_fract_z
Ac1 0.0000 0.0033 0.0000
Ac2 0.0000 0.1465 0.2378
Ac3 0.0000 0.1860 0.6155
Ac4 0.0000 0.2149 0.9033
Ac5 0.0000 0.4567 0.2377
Os1 0.0000 0.2977 0.2622
Au1 0.0000 0.3706 0.5563
Au2 0.0000 0.3932 0.9071
N1 0.0000 0.0521 0.6499
```

## Properties
total energy	-0.4265	Ry per atom
D(E_F)	0.582	states/eV per atom

---

4.
A plane-wave DFT calculation with PBE was carried out for crystalline NaGeBr3 at its relaxed geometry.

Structure (CIF):
```
data_NaGeBr3
_cell_length_a 12.5387
_cell_length_b 7.2426
_cell_length_c 8.1337
_cell_angle_alpha 90.00
_cell_angle_beta 121.05
_cell_angle_gamma 90.00
_space_group_name_H-M_alt 'C 1 c 1'
_space_group_IT_number 9
_space_group_name_Hall 'C -2yc'
loop_
_atom_site_label
_atom_site_fract_x
_atom_site_fract_y
_atom_site_fract_z
Na1 0.0000 0.2497 0.0000
Ge1 0.1996 0.2501 0.6000
Br1 0.1117 0.0721 0.7843
Br2 0.2470 0.4363 0.2839
Br3 0.4252 0.1141 0.7837
```

## Properties
total energy	-0.2308	Ry per atom
D(E_F)	0.000	states/eV per atom

---

5.
A plane-wave DFT calculation with PBE was carried out for crystalline LiGe2W at its relaxed geometry.

Structure (CIF):
```
data_LiGe2W
_cell_length_a 3.0219
_cell_length_b 3.0219
_cell_length_c 25.1541
_cell_angle_alpha 90.00
_cell_angle_beta 90.00
_cell_angle_gamma 120.00
_space_group_name_H-M_alt 'R -3 m'
_space_group_IT_number 166
_space_group_name_Hall '-R 3 2"'
loop_
_atom_site_label
_atom_site_fract_x
_atom_site_fract_y
_atom_site_fract_z
Li1 0.0000 0.0000 0.0000
Ge1 0.0000 0.0000 0.2473
W1 0.0000 0.0000 0.5000
```

## Properties
D(E_F)	0.284	states/eV per atom
energy of formation	13	meV per atom

---

6.
A plane-wave DFT calculation with PBE was carried out for crystalline Ho3Er2Ni4 at its relaxed geometry.

Structure (CIF):
```
data_Ho3Er2Ni4
_cell_length_a 7.3142
_cell_length_b 7.1992
_cell_length_c 7.4652
_cell_angle_alpha 90.00
_cell_angle_beta 106.71
_cell_angle_gamma 90.00
_space_group_name_H-M_alt 'P 1 21/c 1'
_space_group_IT_number 14
_space_group_name_Hall '-P 2ybc'
loop_
_atom_site_label
_atom_site_fract_x
_atom_site_fract_y
_atom_site_fract_z
Ho1 0.0000 0.0000 0.0000
Ho2 0.2650 0.1710 0.7487
Er1 0.2991 0.6797 0.9041
Ni1 0.0013 0.6189 0.1168
Ni2 0.4104 0.0271 0.1185
```

## Properties
D(E_F)	0.681	states/eV per atom
energy of formation	-397	meV per atom

---

7.
A plane-wave DFT calculation with PBE was carried out for crystalline LiZr2AgH at its relaxed geometry.

Structure (CIF):
```
data_LiZr2AgH
_cell_length_a 4.3234
_cell_length_b 4.3234
_cell_length_c 4.2771
_cell_angle_alpha 90.00
_cell_angle_beta 90.00
_cell_angle_gamma 90.00
_space_group_name_H-M_alt 'P 4/m m m'
_space_group_IT_number 123
_space_group_name_Hall '-P 4 2'
loop_
_atom_site_label
_atom_site_fract_x
_atom_site_fract_y
_atom_site_fract_z
Li1 0.0000 0.0000 0.0000
Zr1 0.0000 0.5000 0.5000
Ag1 0.5000 0.5000 0.0000
H1 0.0000 0.0000 0.5000
```

## Properties
total energy	-0.3773	Ry per atom
D(E_F)	0.870	states/eV per atom

---

8.
A plane-wave DFT calculation with PBE was carried out for crystalline Li2CaBi2 at its relaxed geometry.

Structure (CIF):
```
data_Li2CaBi2
_cell_length_a 8.7305
_cell_length_b 8.7305
_cell_length_c 3.4735
_cell_angle_alpha 90.00
_cell_angle_beta 90.00
_cell_angle_gamma 90.00
_space_group_name_H-M_alt 'P 4/m b m'
_space_group_IT_number 127
_space_group_name_Hall '-P 4 2ab'
loop_
_atom_site_label
_atom_site_fract_x
_atom_site_fract_y
_atom_site_fract_z
Li1 0.1243 0.3757 0.0000
Ca1 0.0000 0.0000 0.5000
Bi1 0.1690 0.6690 0.5000
```

## Properties
D(E_F)	0.445	states/eV per atom
energy of formation	-460	meV per atom

---

9.
A plane-wave DFT calculation with PBE was carried out for crystalline TaCo2Ni at its relaxed geometry.

Structure (CIF):
```
data_TaCo2Ni
_cell_length_a 5.8540
_cell_length_b 5.8540
_cell_length_c 5.8540
_cell_angle_alpha 90.00
_cell_angle_beta 90.00
_cell_angle_gamma 90.00
_space_group_name_H-M_alt 'F -4 3 m'
_space_group_IT_number 216
_space_group_name_Hall 'F -4 2 3'
loop_
_atom_site_label
_atom_site_fract_x
_atom_site_fract_y
_atom_site_fract_z
Ta1 0.0000 0.0000 0.0000
Co1 0.0000 0.0000 0.5000
Co2 0.2500 0.2500 0.7500
Ni1 0.2500 0.2500 0.2500
```

## Properties
D(E_F)	1.800	states/eV per atom
energy of formation	-24	meV per atom

---

10.
A plane-wave DFT calculation with PBE was carried out for crystalline SrZnRu2 at its relaxed geometry.

Structure (CIF):
```
data_SrZnRu2
_cell_length_a 6.6120
_cell_length_b 6.6120
_cell_length_c 6.6120
_cell_angle_alpha 90.00
_cell_angle_beta 90.00
_cell_angle_gamma 90.00
_space_group_name_H-M_alt 'F -4 3 m'
_space_group_IT_number 216
_space_group_name_Hall 'F -4 2 3'
loop_
_atom_site_label
_atom_site_fract_x
_atom_site_fract_y
_atom_site_fract_z
Sr1 0.0000 0.0000 0.0000
Zn1 0.2500 0.2500 0.7500
Ru1 0.0000 0.0000 0.5000
Ru2 0.2500 0.2500 0.2500
```

## Properties
D(E_F)	1.059	states/eV per atom
energy of formation	565	meV per atom

---

11.
A plane-wave DFT calculation with PBE was carried out for crystalline YF at its relaxed geometry.

Structure (CIF):
```
data_YF
_cell_length_a 3.8288
_cell_length_b 11.5544
_cell_length_c 5.5737
_cell_angle_alpha 90.00
_cell_angle_beta 90.00
_cell_angle_gamma 90.00
_space_group_name_H-M_alt 'P m m n'
_space_group_IT_number 59
loop_
_space_group_symop_operation_xyz
'x,y,z'
'-x,-y,-z'
'-x+1/2,-y+1/2,z'
'x+1/2,y+1/2,-z'
'x+1/2,-y,-z'
'-x+1/2,y,z'
'-x,y+1/2,-z'
'x,-y+1/2,z'
loop_
_atom_site_label
_atom_site_fract_x
_atom_site_fract_y
_atom_site_fract_z
Y1 0.2500 0.0978 0.2356
Y2 0.2500 0.7500 0.2999
F1 0.2500 0.2500 0.9482
F2 0.2500 0.5711 0.4614
```

## Properties
total energy	-0.4873	Ry per atom
D(E_F)	0.579	states/eV per atom

---

12.
A plane-wave DFT calculation with PBE was carried out for crystalline Pt2Se at its relaxed geometry.

Structure (CIF):
```
data_Pt2Se
_cell_length_a 3.1521
_cell_length_b 3.1521
_cell_length_c 9.9838
_cell_angle_alpha 90.00
_cell_angle_beta 90.00
_cell_angle_gamma 90.00
_space_group_name_H-M_alt 'I 4/m m m'
_space_group_IT_number 139
_space_group_name_Hall '-I 4 2'
loop_
_atom_site_label
_atom_site_fract_x
_atom_site_fract_y
_atom_site_fract_z
Pt1 0.0000 0.0000 0.1595
Se1 0.0000 0.0000 0.5000
```

## Properties
total energy	-0.3681	Ry per atom
D(E_F)	0.589	states/eV per atom

---

13.
A plane-wave DFT calculation with PBE was carried out for crystalline SiMo2P at its relaxed geometry.

Structure (CIF):
```
data_SiMo2P
_cell_length_a 2.9691
_cell_length_b 2.9691
_cell_length_c 23.4168
_cell_angle_alpha 90.00
_cell_angle_beta 90.00
_cell_angle_gamma 120.00
_space_group_name_H-M_alt 'R 3 m'
_space_group_IT_number 160
_space_group_name_Hall 'R 3 -2"'
loop_
_atom_site_label
_atom_site_fract_x
_atom_site_fract_y
_atom_site_fract_z
Si1 0.0000 0.0000 0.0000
Mo1 0.0000 0.0000 0.2502
Mo2 0.0000 0.0000 0.4907
P1 0.0000 0.0000 0.7480
```

## Properties
total energy	-0.5985	Ry per atom
D(E_F)	0.776	states/eV per atom

---

14.
A plane-wave DFT calculation with PBE was carried out for crystalline Tb9Dy3Th2 at its relaxed geometry.

Structure (CIF):
```
data_Tb9Dy3Th2
_cell_length_a 16.4094
_cell_length_b 5.6191
_cell_length_c 10.2881
_cell_angle_alpha 90.00
_cell_angle_beta 105.47
_cell_angle_gamma 90.00
_space_group_name_H-M_alt 'C 1 m 1'
_space_group_IT_number 8
_space_group_name_Hall 'C -2y'
loop_
_atom_site_label
_atom_site_fract_x
_atom_site_fract_y
_atom_site_fract_z
Tb1 0.0000 0.0000 0.0000
Tb2 0.0076 0.0000 0.3965
Tb3 0.0254 0.5000 0.2072
Tb4 0.1785 0.0000 0.2183
Tb5 0.2162 0.0000 0.5810
Tb6 0.2610 0.5000 0.4203
Tb7 0.2739 0.0000 0.9516
Tb8 0.3401 0.5000 0.1451
Tb9 0.4338 0.0000 0.7778
Dy1 0.0530 0.0000 0.7310
Dy2 0.3005 0.5000 0.7763
Dy3 0.3833 0.0000 0.4069
Th1 0.0946 0.5000 0.5765
Th2 0.1367 0.5000 0.9602
```

## Properties
D(E_F)	1.303	states/eV per atom
energy of formation	111	meV per atom

---

15.
A plane-wave DFT calculation with PBE was carried out for crystalline Ba2PaNi2S6 at its relaxed geometry.

Structure (CIF):
```
data_Ba2PaNi2S6
_cell_length_a 12.2541
_cell_length_b 7.1348
_cell_length_c 7.5816
_cell_angle_alpha 90.00
_cell_angle_beta 122.28
_cell_angle_gamma 90.00
_space_group_name_H-M_alt 'C 1 2/m 1'
_space_group_IT_number 12
_space_group_name_Hall '-C 2y'
loop_
_atom_site_label
_atom_site_fract_x
_atom_site_fract_y
_atom_site_fract_z
Ba1 0.2287 0.0000 0.2089
Pa1 0.0000 0.0000 0.5000
Ni1 0.0453 0.5000 0.1892
S1 0.0490 0.2476 0.7943
S2 0.2460 0.0000 0.6450
```

## Properties
total energy	-0.4262	Ry per atom
D(E_F)	0.612	states/eV per atom

---

16.
A plane-wave DFT calculation with PBE was carried out for crystalline TiAu2F4 at its relaxed geometry.

Structure (CIF):
```
data_TiAu2F4
_cell_length_a 3.8539
_cell_length_b 3.8539
_cell_length_c 19.0134
_cell_angle_alpha 90.00
_cell_angle_beta 90.00
_cell_angle_gamma 90.00
_space_group_name_H-M_alt 'I 4/m m m'
_space_group_IT_number 139
_space_group_name_Hall '-I 4 2'
loop_
_atom_site_label
_atom_site_fract_x
_atom_site_fract_y
_atom_site_fract_z
Ti1 0.0000 0.0000 0.0000
Au1 0.0000 0.0000 0.2562
F1 0.0000 0.0000 0.0952
F2 0.0000 0.5000 0.0000
```

## Properties
total energy	-0.3902	Ry per atom
D(E_F)	0.259	states/eV per atom

---

17.
A plane-wave DFT calculation with PBE was carried out for crystalline PPbI2O at its relaxed geometry.

Structure (CIF):
```
data_PPbI2O
_cell_length_a 6.3713
_cell_length_b 6.3713
_cell_length_c 4.1878
_cell_angle_alpha 90.00
_cell_angle_beta 90.00
_cell_angle_gamma 90.00
_space_group_name_H-M_alt 'P 4/m m m'
_space_group_IT_number 123
_space_group_name_Hall '-P 4 2'
loop_
_atom_site_label
_atom_site_fract_x
_atom_site_fract_y
_atom_site_fract_z
P1 0.0000 0.0000 0.0000
Pb1 0.5000 0.5000 0.5000
I1 0.0000 0.5000 0.5000
O1 0.5000 0.5000 0.0000
```

## Properties
total energy	-0.2198	Ry per atom
D(E_F)	0.867	states/eV per atom

---

18.
A plane-wave DFT calculation with PBE was carried out for crystalline K2CuOsPd at its relaxed geometry.

Structure (CIF):
```
data_K2CuOsPd
_cell_length_a 6.0180
_cell_length_b 6.0180
_cell_length_c 4.8341
_cell_angle_alpha 90.00
_cell_angle_beta 90.00
_cell_angle_gamma 90.00
_space_group_name_H-M_alt 'P 4/m m m'
_space_group_IT_number 123
_space_group_name_Hall '-P 4 2'
loop_
_atom_site_label
_atom_site_fract_x
_atom_site_fract_y
_atom_site_fract_z
K1 0.0000 0.5000 0.0000
Cu1 0.0000 0.0000 0.5000
Os1 0.5000 0.5000 0.5000
Pd1 0.0000 0.0000 0.0000
```

## Properties
D(E_F)	2.108	states/eV per atom
energy of formation	1534	meV per atom

---

19.
A plane-wave DFT calculation with PBE was carried out for crystalline Sr2HoTl3 at its relaxed geometry.

Structure (CIF):
```
data_Sr2HoTl3
_cell_length_a 5.6507
_cell_length_b 16.8792
_cell_length_c 7.9793
_cell_angle_alpha 90.00
_cell_angle_beta 90.00
_cell_angle_gamma 90.00
_space_group_name_H-M_alt 'C m m m'
_space_group_IT_number 65
_space_group_name_Hall '-C 2 2'
loop_
_atom_site_label
_atom_site_fract_x
_atom_site_fract_y
_atom_site_fract_z
Sr1 0.0000 0.0000 0.0000
Sr2 0.0000 0.0000 0.5000
Sr3 0.0000 0.3368 0.0000
Ho1 0.0000 0.3350 0.5000
Tl1 0.0000 0.1733 0.2703
Tl2 0.0000 0.5000 0.2697
```

## Properties
D(E_F)	0.565	states/eV per atom
energy of formation	-378	meV per atom

---

20.
A plane-wave DFT calculation with PBE was carried out for crystalline InWAu2 at its relaxed geometry.

Structure (CIF):
```
data_InWAu2
_cell_length_a 2.9327
_cell_length_b 2.9327
_cell_length_c 8.4928
_cell_angle_alpha 90.00
_cell_angle_beta 90.00
_cell_angle_gamma 90.00
_space_group_name_H-M_alt 'P 4/m m m'
_space_group_IT_number 123
_space_group_name_Hall '-P 4 2'
loop_
_atom_site_label
_atom_site_fract_x
_atom_site_fract_y
_atom_site_fract_z
In1 0.0000 0.0000 0.0000
W1 0.0000 0.0000 0.5000
Au1 0.5000 0.5000 0.2652
```

## Properties
D(E_F)	0.695	states/eV per atom
energy of formation	285	meV per atom